First-principles (GGA+U) data for a relaxed Zr2MnPbO crystal, as listed in Alexandria.

Calculated values
The value obtained for the uncorrected energy is -6.957 eV/atom.

a = 4.512 Å, b = 4.159 Å, c = 4.512 Å
α = 90.00°, β = 90.00°, γ = 90.00°
Atoms (fractional coordinates):
Zr  0.000  0.000  0.500
Mn  0.000  0.500  0.000
Zr  0.500  0.000  0.000
Pb  0.500  0.500  0.500
O  0.000  0.000  0.000